## TbDy4Zn (PBE)

Data for TbDy4Zn after structural relaxation.

The space group is C2/c (No. 15) and the conventional cell measures 8.789, 13.503 and 6.214 Å, with angles of 90.00, 108.69 and 90.00 degrees. The distinct sites, in fractional coordinates, are Tb at (0.000, 0.095, 0.250), Dy at (0.103, 0.318, 0.549), Dy at (0.224, 0.113, 0.875) and Zn at (0.000, 0.500, 0.250).

The total magnetization comes out at 0.00 μB/cell. As for the total energy: -4.050 eV/atom. Its crystal system is monoclinic. The value obtained for the formation energy is 0.002 eV/atom. The offset from the most stable computed form is 102 meV per atom.